# 1
A relaxed TmSc5Hg6 crystal, computed with PBE.

## Properties
Density of states at the Fermi level   11.95 states/eV/cell
Raw total energy   -3.59 eV/atom
Magnetization   0.001 μB per formula unit
Space-group type   C2/m, No. 12
E_form   -0.432 eV per atom
Calculated density   9.9 g/cm3

Cell: 8.661 8.661 4.989 Å, 106.54 106.54 48.94°
Fractional positions:
Tm 0.000 0.000 0.000
Sc 0.165 0.165 0.665
Sc 0.332 0.332 0.332
Sc 0.500 0.500 0.000
Sc 0.668 0.668 0.668
Sc 0.835 0.835 0.335
Hg 0.086 0.576 0.831
Hg 0.260 0.740 0.500
Hg 0.424 0.914 0.169
Hg 0.576 0.086 0.831
Hg 0.740 0.260 0.500
Hg 0.914 0.424 0.169

# 2
A relaxed Tm2ScHg5 crystal, computed with PBE.

## Properties
Density of states at the Fermi level   3.85 states/eV/cell
Raw total energy   -2.45 eV/atom
Magnetization   0.000 μB per formula unit
Space-group type   I4/mmm, No. 139
E_form   -0.354 eV per atom
Calculated density   12.3 g/cm3

Cell: 8.002 8.002 8.002 Å, 142.75 142.75 53.70°
Fractional positions:
Tm 0.239 0.239 0.000
Tm 0.761 0.761 0.000
Sc 0.500 0.500 0.000
Hg 0.000 0.000 0.000
Hg 0.122 0.622 0.500
Hg 0.378 0.878 0.500
Hg 0.622 0.122 0.500
Hg 0.878 0.378 0.500

# 3
A relaxed Tm2Sc2Hg7 crystal, computed with PBE.

## Properties
Density of states at the Fermi level   7.31 states/eV/cell
Raw total energy   -2.25 eV/atom
Magnetization   0.000 μB per formula unit
Space-group type   Cmmm, No. 65
E_form   -0.093 eV per atom
Calculated density   10.4 g/cm3

Cell: 6.493 6.493 7.692 Å, 90.00 90.00 115.32°
Fractional positions:
Tm 0.247 0.247 0.000
Tm 0.753 0.753 0.000
Sc 0.266 0.734 0.500
Sc 0.734 0.266 0.500
Hg 0.000 0.000 0.500
Hg 0.000 0.500 0.193
Hg 0.000 0.500 0.807
Hg 0.500 0.000 0.193
Hg 0.500 0.000 0.807
Hg 0.500 0.500 0.311
Hg 0.500 0.500 0.689

# 4
A relaxed TmSc4Hg5 crystal, computed with PBE.

## Properties
Density of states at the Fermi level   9.73 states/eV/cell
Raw total energy   -3.57 eV/atom
Magnetization   0.000 μB per formula unit
Space-group type   P4/mmm, No. 123
E_form   -0.435 eV per atom
Calculated density   10.0 g/cm3

Cell: 3.555 3.555 17.743 Å, 90.00 90.00 90.00°
Fractional positions:
Tm 0.000 0.000 0.000
Sc 0.000 0.000 0.206
Sc 0.000 0.000 0.402
Sc 0.000 0.000 0.598
Sc 0.000 0.000 0.794
Hg 0.500 0.500 0.108
Hg 0.500 0.500 0.304
Hg 0.500 0.500 0.500
Hg 0.500 0.500 0.696
Hg 0.500 0.500 0.892

# 5
A relaxed Tm4ScHg crystal, computed with PBE.

## Properties
Density of states at the Fermi level   19.16 states/eV/cell
Raw total energy   -4.10 eV/atom
Magnetization   0.002 μB per formula unit
Space-group type   C2/c, No. 15
E_form   -0.018 eV per atom
Calculated density   9.0 g/cm3

Cell: 8.062 8.062 6.167 Å, 99.82 99.82 116.42°
Fractional positions:
Tm 0.092 0.711 0.954
Tm 0.182 0.399 0.634
Tm 0.289 0.908 0.546
Tm 0.399 0.182 0.134
Tm 0.601 0.818 0.866
Tm 0.711 0.092 0.454
Tm 0.818 0.601 0.366
Tm 0.908 0.289 0.046
Sc 0.398 0.602 0.250
Sc 0.602 0.398 0.750
Hg 0.001 0.999 0.750
Hg 0.999 0.001 0.250

# 6
A relaxed Tm4ScHg2 crystal, computed with PBE.

## Properties
Density of states at the Fermi level   11.20 states/eV/cell
Raw total energy   -3.55 eV/atom
Magnetization   0.001 μB per formula unit
Space-group type   R-3m, No. 166
E_form   0.001 eV per atom
Calculated density   9.1 g/cm3

Cell: 8.914 8.914 8.914 Å, 34.65 34.65 34.65°
Fractional positions:
Tm 0.131 0.131 0.131
Tm 0.269 0.269 0.269
Tm 0.731 0.731 0.731
Tm 0.869 0.869 0.869
Sc 0.500 0.500 0.500
Hg 0.388 0.388 0.388
Hg 0.612 0.612 0.612

Repeat the second record exactly.
A relaxed Tm2ScHg5 crystal, computed with PBE.

## Properties
Density of states at the Fermi level   3.85 states/eV/cell
Raw total energy   -2.45 eV/atom
Magnetization   0.000 μB per formula unit
Space-group type   I4/mmm, No. 139
E_form   -0.354 eV per atom
Calculated density   12.3 g/cm3

Cell: 8.002 8.002 8.002 Å, 142.75 142.75 53.70°
Fractional positions:
Tm 0.239 0.239 0.000
Tm 0.761 0.761 0.000
Sc 0.500 0.500 0.000
Hg 0.000 0.000 0.000
Hg 0.122 0.622 0.500
Hg 0.378 0.878 0.500
Hg 0.622 0.122 0.500
Hg 0.878 0.378 0.500

> What is the calculated density in the third record?

10.4 g/cm3

Please write out number 1 again, unchanged.
A relaxed TmSc5Hg6 crystal, computed with PBE.

## Properties
Density of states at the Fermi level   11.95 states/eV/cell
Raw total energy   -3.59 eV/atom
Magnetization   0.001 μB per formula unit
Space-group type   C2/m, No. 12
E_form   -0.432 eV per atom
Calculated density   9.9 g/cm3

Cell: 8.661 8.661 4.989 Å, 106.54 106.54 48.94°
Fractional positions:
Tm 0.000 0.000 0.000
Sc 0.165 0.165 0.665
Sc 0.332 0.332 0.332
Sc 0.500 0.500 0.000
Sc 0.668 0.668 0.668
Sc 0.835 0.835 0.335
Hg 0.086 0.576 0.831
Hg 0.260 0.740 0.500
Hg 0.424 0.914 0.169
Hg 0.576 0.086 0.831
Hg 0.740 0.260 0.500
Hg 0.914 0.424 0.169

> What is the formula in the second record?

Tm2ScHg5